[1]
The following is a DFT calculation (PBE-GGA) of a geometry-optimized Pm2Sm2Ru3 structure.

a b c (Å): 7.801 7.801 4.875
angles (deg): 108.11 108.11 36.61
Element x y z (fractional)
1 Pm 0.126 0.126 0.126
2 Pm 0.874 0.874 0.874
3 Sm 0.374 0.374 0.373
4 Sm 0.626 0.626 0.627
5 Ru 0.250 0.250 0.750
6 Ru 0.500 0.500 0.000
7 Ru 0.750 0.750 0.250

Summary:
symmetry	C2/m, No. 12
DOS at the Fermi energy	5.1	states/eV/cell
total magnetization	0.00	Bohr magnetons per cell
DFT total energy	-6.8614	eV per atom
ΔH_f (0 K)	-180	meV/atom

---

[2]
The following is a DFT calculation (PBE-GGA) of a geometry-optimized La14CeTh structure.

a b c (Å): 10.460 7.371 7.371
angles (deg): 90.01 90.00 90.00
Element x y z (fractional)
1 La 0.000 0.000 0.000
2 La 0.000 0.000 0.499
3 La 0.000 0.499 0.000
4 La 0.000 0.500 0.500
5 La 0.258 0.748 0.748
6 La 0.259 0.251 0.251
7 La 0.259 0.251 0.749
8 La 0.259 0.749 0.251
9 La 0.500 0.501 0.999
10 La 0.500 0.999 0.501
11 La 0.741 0.251 0.251
12 La 0.741 0.251 0.749
13 La 0.741 0.749 0.251
14 La 0.742 0.748 0.748
15 Ce 0.500 0.000 0.000
16 Th 0.500 0.500 0.500

Summary:
symmetry	Amm2, No. 38
DOS at the Fermi energy	32.8	states/eV/cell
total magnetization	1.26	Bohr magnetons per cell
DFT total energy	-5.1194	eV per atom
ΔH_f (0 K)	27	meV/atom

---

[3]
The following is a DFT calculation (PBE-GGA) of a geometry-optimized K2CeCu2Se4 structure.

a b c (Å): 7.815 7.815 7.916
angles (deg): 108.87 108.87 30.73
Element x y z (fractional)
1 K 0.136 0.136 0.066
2 K 0.864 0.864 0.934
3 Ce 0.000 0.000 0.500
4 Cu 0.320 0.320 0.513
5 Cu 0.680 0.680 0.487
6 Se 0.201 0.201 0.676
7 Se 0.479 0.479 0.739
8 Se 0.521 0.521 0.261
9 Se 0.799 0.799 0.324

Summary:
symmetry	C2/m, No. 12
DOS at the Fermi energy	2.1	states/eV/cell
E_form (uncorrected)	-966	kJ/mol of formula units
total magnetization	0.16	Bohr magnetons per cell
DFT total energy	-4.4750	eV per atom

---

[4]
The following is a DFT calculation (PBE-GGA) of a geometry-optimized NaCu2MoCl structure.

a b c (Å): 4.613 4.613 4.475
angles (deg): 90.00 90.00 90.00
Element x y z (fractional)
1 Na 0.000 0.000 0.000
2 Cu 0.000 0.500 0.500
3 Cu 0.500 0.000 0.500
4 Mo 0.500 0.500 0.000
5 Cl 0.500 0.500 0.500

Summary:
symmetry	P4/mmm, No. 123
DOS at the Fermi energy	2.5	states/eV/cell
E_form (uncorrected)	490	kJ/mol of formula units
total magnetization	1.17	Bohr magnetons per cell
DFT total energy	-3.4221	eV per atom

---

[5]
The following is a DFT calculation (PBE-GGA) of a geometry-optimized Li3MgTl3Br8 structure.

a b c (Å): 8.173 8.173 9.039
angles (deg): 116.88 116.88 59.95
Element x y z (fractional)
1 Li 0.000 0.000 0.000
2 Li 0.000 0.500 0.000
3 Li 0.500 0.000 0.000
4 Mg 0.500 0.500 0.000
5 Tl 0.000 0.500 0.500
6 Tl 0.500 0.000 0.500
7 Tl 0.500 0.500 0.500
8 Br 0.232 0.232 0.195
9 Br 0.240 0.726 0.192
10 Br 0.274 0.274 0.808
11 Br 0.274 0.760 0.808
12 Br 0.726 0.240 0.192
13 Br 0.726 0.726 0.192
14 Br 0.760 0.274 0.808
15 Br 0.768 0.768 0.805

Summary:
symmetry	C2/m, No. 12
DOS at the Fermi energy	0.0	states/eV/cell
E_form (uncorrected)	-1770	kJ/mol of formula units
total magnetization	0.00	Bohr magnetons per cell
DFT total energy	-3.0772	eV per atom

---

[6]
The following is a DFT calculation (PBE-GGA) of a geometry-optimized CdCu4Tc structure.

a b c (Å): 4.901 4.901 4.901
angles (deg): 60.00 60.00 60.00
Element x y z (fractional)
1 Cd 0.000 0.000 0.000
2 Cu 0.126 0.625 0.625
3 Cu 0.625 0.126 0.625
4 Cu 0.625 0.625 0.126
5 Cu 0.625 0.625 0.625
6 Tc 0.250 0.250 0.250

Summary:
symmetry	F-43m, No. 216
DOS at the Fermi energy	3.3	states/eV/cell
total magnetization	2.15	Bohr magnetons per cell
DFT total energy	-4.3356	eV per atom
ΔH_f (0 K)	275	meV/atom

---

Q: Which value of total magnetization does entry 3 give?
A: 0.16 Bohr magnetons per cell